Entry 1:
VASP calculation (PBE-GGA) on crystalline CsHg2PtAu at its relaxed geometry.

Cell: 5.383 5.383 5.392 Å, 90.00 90.00 90.00°
Element x y z (fractional)
Cs1 0.500 0.500 0.500
Au1 0.000 0.000 0.500
Hg1 0.000 0.500 0.000
Hg2 0.500 0.000 0.000
Pt1 0.000 0.000 0.000

Results
ΔH_f (0 K)   -0.217 eV per atom


Entry 2:
VASP calculation (PBE-GGA) on crystalline DyYTe at its relaxed geometry.

Cell: 3.872 3.872 6.399 Å, 107.61 107.61 90.00°
Element x y z (fractional)
Y1 0.011 0.011 0.022
Te1 0.667 0.667 0.333
Dy1 0.322 0.322 0.645

Results
Polymorph energy (0 for the lowest one)   80 meV/atom
E_form (uncorrected)   -787 meV per atom


Entry 3:
VASP calculation (PBE-GGA) on crystalline SmY2MgHg4 at its relaxed geometry.

Cell: 5.169 5.169 9.196 Å, 73.68 73.68 60.00°
Element x y z (fractional)
Sm1 0.000 0.000 0.000
Y1 0.756 0.756 0.732
Y2 0.244 0.244 0.268
Mg1 0.500 0.500 0.500
Hg1 0.376 0.376 0.871
Hg2 0.875 0.875 0.376
Hg3 0.125 0.125 0.624
Hg4 0.624 0.624 0.129

Results
ΔH_f (0 K)   -0.463 eV per atom


Entry 4:
VASP calculation (PBE-GGA) on crystalline CeTh2I2Br4 at its relaxed geometry.

Cell: 3.970 3.970 24.689 Å, 90.00 90.00 120.00°
Last column: magnetic moment on the atom in μB.
Element x y z (fractional)
Ce1 0.000 0.000 0.323  -1.35
Th1 0.000 0.000 0.976  0.00
Th2 0.667 0.333 0.660  0.00
I1 0.667 0.333 0.413  0.01
I2 0.667 0.333 0.233  0.01
Br1 0.000 0.000 0.578  0.00
Br2 0.667 0.333 0.057  0.00
Br3 0.667 0.333 0.895  0.00
Br4 0.000 0.000 0.741  0.00

Results
E_form (uncorrected)   -1327 meV per atom


Entry 5:
VASP calculation (PBE-GGA) on crystalline V2CoNi5 at its relaxed geometry.

Cell: 3.521 5.050 10.097 Å, 90.00 90.00 90.00°
Last column: magnetic moment on the atom in μB.
Element x y z (fractional)
V1 0.500 0.235 0.621  0.60
V2 0.500 0.765 0.379  0.60
V3 0.500 0.265 0.121  0.60
V4 0.500 0.735 0.879  0.60
Co1 0.000 0.000 0.500  -0.33
Co2 0.000 0.500 0.000  -0.33
Ni1 0.000 0.000 0.000  0.03
Ni2 0.000 0.500 0.500  0.03
Ni3 0.000 0.487 0.750  0.04
Ni4 0.000 0.513 0.250  0.04
Ni5 0.000 0.013 0.250  0.04
Ni6 0.000 0.987 0.750  0.04
Ni7 0.500 0.240 0.874  0.03
Ni8 0.500 0.760 0.126  0.03
Ni9 0.500 0.260 0.374  0.03
Ni10 0.500 0.740 0.626  0.03

Results
ΔH_f (0 K)   -0.184 eV per atom


Entry 6:
VASP calculation (PBE-GGA) on crystalline PmInPb2I8 at its relaxed geometry.

Cell: 7.853 7.371 9.711 Å, 89.97 89.99 89.20°
Element x y z (fractional)
Pm1 0.000 0.000 0.000
In1 0.000 0.000 0.500
Pb1 0.500 0.500 0.747
Pb2 0.500 0.500 0.253
I1 0.154 0.754 0.229
I2 0.670 0.760 0.000
I3 0.845 0.246 0.229
I4 0.846 0.246 0.771
I5 0.330 0.240 0.000
I6 0.155 0.754 0.771
I7 0.644 0.735 0.500
I8 0.356 0.265 0.500

Results
E_form (uncorrected)   -834 meV per atom


Entry 7:
VASP calculation (PBE-GGA) on crystalline LiScS2Cl at its relaxed geometry.

Cell: 4.478 4.478 4.484 Å, 90.00 90.00 90.00°
Element x y z (fractional)
Sc1 0.500 0.500 0.500
S1 0.000 0.500 0.000
S2 0.500 0.000 0.000
Li1 0.000 0.000 0.000
Cl1 0.000 0.000 0.500

Results
Polymorph energy (0 for the lowest one)   504 meV/atom
E_form (uncorrected)   -658 meV per atom


> What is the formula in the seventh record?

LiScS2Cl